Record 1
Here is a relaxed structure of CoTe2I2 from the Alexandria database. Energies are from PBE-GGA.

Output
Formation energy (no corrections) = -0.015 eV/atom
Total energy = -3.31 eV/atom
Space-group type = C2/m, No. 12

Lattice parameters (Å, degrees): 10.147 7.187 9.976 61.96 48.25 45.09
Atoms (fractional coordinates):
Te 0.784 0.000 0.003
Te 0.216 0.000 0.997
Te 0.199 0.000 0.712
Te 0.801 0.000 0.288
I 0.107 0.387 0.254
I 0.494 0.613 0.254
I 0.893 0.613 0.746
I 0.506 0.387 0.746
Co 0.127 0.746 0.000
Co 0.873 0.254 0.000

***

Record 2
Here is a relaxed structure of Er2TmScSb4 from the Alexandria database. Energies are from PBE-GGA.

Output
Formation energy (no corrections) = -1.041 eV/atom
Total energy = -5.59 eV/atom
Space-group type = P2/m, No. 10

Lattice parameters (Å, degrees): 4.308 7.455 7.455 109.47 90.00 90.00
Atoms (fractional coordinates):
Tm 0.000 0.000 0.000
Sc 0.500 0.500 0.000
Sb 0.000 0.258 0.759
Sb 0.000 0.742 0.241
Sb 0.500 0.253 0.245
Sb 0.500 0.747 0.755
Er 0.000 0.500 0.500
Er 0.500 0.000 0.500

***

Record 3
Here is a relaxed structure of ZnAgTeN2 from the Alexandria database. Energies are from PBE-GGA.

Output
Formation energy (no corrections) = 1.648 eV/atom
Polymorph energy (0 for the lowest one) = 0.232 eV per atom
Total energy = -3.14 eV/atom
Space-group type = P4/mmm, No. 123

Lattice parameters (Å, degrees): 4.104 4.104 6.340 90.00 90.00 90.00
Site moments in Bohr magnetons follow the coordinates.
Atoms (fractional coordinates):
Te 0.000 0.000 0.500  0.14
Zn 0.500 0.500 0.500  -0.01
Ag 0.000 0.000 0.000  0.21
N 0.000 0.500 0.000  1.14
N 0.500 0.000 0.000  1.14

***

Record 4
Here is a relaxed structure of Sr3SnHg6Bi2 from the Alexandria database. Energies are from PBE-GGA.

Output
Total energy = -1.84 eV/atom
Space-group type = P-3m1, No. 164
Formation energy from the elements = -0.2885 eV per atom

Lattice parameters (Å, degrees): 6.555 6.555 9.748 90.00 90.00 120.00
Atoms (fractional coordinates):
Bi 0.333 0.667 0.976
Bi 0.667 0.333 0.024
Sr 0.333 0.667 0.604
Sr 0.667 0.333 0.396
Sr 0.000 0.000 0.000
Hg 0.178 0.356 0.264
Hg 0.644 0.822 0.264
Hg 0.356 0.178 0.736
Hg 0.822 0.644 0.736
Hg 0.178 0.822 0.264
Hg 0.822 0.178 0.736
Sn 0.000 0.000 0.500